This record from the Alexandria database describes an optimized crystal structure of TcGe2Se2. The functional is PBE-GGA.

```
TcGe2Se2
1.0
-1.741 1.741 8.874
1.741 -1.741 8.874
1.741 1.741 -8.874
Tc Ge Se
1 2 2
Direct
0.000 0.000 0.000 Tc
0.426 0.426 0.000 Ge
0.574 0.574 0.000 Ge
0.250 0.750 0.500 Se
0.750 0.250 0.500 Se
```

Results
The total magnetization comes out at 0.000 μB per formula unit. The energy above the most stable polymorph in this dataset comes out at 99.3 meV per atom. The raw formation energy comes out at 0.52 eV/atom. Its space-group type is I4/mmm, No. 139.